## KBi3Ir (meta-GGA SCAN)

Data for a PBEsol-optimized structure of KBi3Ir.

Unit cell a=5.432 b=5.432 c=5.432 alpha=90.00 beta=90.00 gamma=90.00
Space group Pm-3m (No. 221)
Inequivalent atoms, fractional coordinates:
K 0.000 0.000 0.000 x1
Bi 0.000 0.500 0.500 x3
Ir 0.500 0.500 0.500 x1

Calculated values
Mass density, g/cm³: 8.9
DFT formation energy, eV/atom: 0.27

***

## K3BiIr (meta-GGA SCAN)

Data for a PBEsol-optimized structure of K3BiIr.

Unit cell a=5.934 b=5.934 c=5.934 alpha=90.00 beta=90.00 gamma=90.00
Space group Pm-3m (No. 221)
Inequivalent atoms, fractional coordinates:
K 0.000 0.000 0.500 x3
Bi 0.500 0.500 0.500 x1
Ir 0.000 0.000 0.000 x1

Calculated values
Mass density, g/cm³: 4.1
DFT formation energy, eV/atom: 0.73

***

## K2BiIr (meta-GGA SCAN)

Data for a PBEsol-optimized structure of K2BiIr.

Unit cell a=12.450 b=12.450 c=5.037 alpha=90.00 beta=90.00 gamma=90.00
Space group I-42d (No. 122)
Inequivalent atoms, fractional coordinates:
K 0.034 0.250 0.125 x8
Bi 0.000 0.000 0.500 x4
Ir 0.000 0.000 0.000 x4

Calculated values
Mass density, g/cm³: 4.1
DFT formation energy, eV/atom: 0.17

***

## LaBi3Ir (meta-GGA SCAN)

Data for a PBEsol-optimized structure of LaBi3Ir.

Unit cell a=5.905 b=5.905 c=5.905 alpha=90.00 beta=90.00 gamma=90.00
Space group Pm-3m (No. 221)
Inequivalent atoms, fractional coordinates:
La 0.000 0.000 0.000 x1
Bi 0.000 0.000 0.500 x3
Ir 0.500 0.500 0.500 x1

Calculated values
Mass density, g/cm³: 7.7
DFT formation energy, eV/atom: 1.65